Record 1
A relaxed NaMg3Ag crystal. Source: Alexandria, functional PBEsol.

a = 5.1649 Å, b = 5.1649 Å, c = 5.1649 Å
α = 90.00°, β = 90.00°, γ = 90.00°
Fractional coordinates of all 5 atoms:
Na: 0.0000 0.0000 0.0000
Mg: 0.0000 0.5000 0.5000
Mg: 0.5000 0.0000 0.5000
Mg: 0.5000 0.5000 0.0000
Ag: 0.5000 0.5000 0.5000

- space group = Pm-3m (221)
- magnetization (Bohr magnetons per cell) = 0.0
- calculated formation energy (eV per atom) = 0.09

***

Record 2
A relaxed NaYMgAg2 crystal. Source: Alexandria, functional PBEsol.

a = 5.0280 Å, b = 5.0280 Å, c = 5.5253 Å
α = 90.00°, β = 90.00°, γ = 90.00°
Fractional coordinates of all 5 atoms:
Na: 0.0000 0.0000 0.0000
Y: 0.5000 0.5000 0.0000
Mg: 0.5000 0.5000 0.5000
Ag: 0.0000 0.5000 0.5000
Ag: 0.5000 0.0000 0.5000

- space group = P4/mmm (123)
- magnetization (Bohr magnetons per cell) = 0.0
- calculated formation energy (eV per atom) = 0.58

***

Record 3
A relaxed Mg3NbAg crystal. Source: Alexandria, functional PBEsol.

a = 4.8564 Å, b = 4.8564 Å, c = 4.8564 Å
α = 90.00°, β = 90.00°, γ = 90.00°
Fractional coordinates of all 5 atoms:
Mg: 0.0000 0.0000 0.5000
Mg: 0.0000 0.5000 0.0000
Mg: 0.5000 0.0000 0.0000
Nb: 0.5000 0.5000 0.5000
Ag: 0.0000 0.0000 0.0000

- space group = Pm-3m (221)
- magnetization (Bohr magnetons per cell) = 1.7
- calculated formation energy (eV per atom) = 0.81

***

Record 4
A relaxed Mg2NbAg2 crystal. Source: Alexandria, functional PBEsol.

a = 6.7832 Å, b = 6.7832 Å, c = 6.7832 Å
α = 146.52°, β = 146.52°, γ = 48.07°
Fractional coordinates of all 5 atoms:
Mg: 0.2500 0.7500 0.5000
Mg: 0.7500 0.2500 0.5000
Nb: 0.0000 0.0000 0.0000
Ag: 0.3979 0.3979 0.0000
Ag: 0.6021 0.6021 0.0000

- space group = I4/mmm (139)
- magnetization (Bohr magnetons per cell) = 1.0
- calculated formation energy (eV per atom) = 0.46

***

Record 5
A relaxed NdMgAg crystal. Source: Alexandria, functional PBEsol.

a = 7.7089 Å, b = 7.7089 Å, c = 4.2260 Å
α = 90.00°, β = 90.00°, γ = 120.00°
Fractional coordinates of all 9 atoms:
Nd: 0.0000 0.5844 0.0000
Nd: 0.4156 0.4156 0.0000
Nd: 0.5844 0.0000 0.0000
Mg: 0.0000 0.2417 0.5000
Mg: 0.2417 0.0000 0.5000
Mg: 0.7583 0.7583 0.5000
Ag: 0.0000 0.0000 0.0000
Ag: 0.3333 0.6667 0.5000
Ag: 0.6667 0.3333 0.5000

- space group = P-62m (189)
- magnetization (Bohr magnetons per cell) = 0.0
- calculated formation energy (eV per atom) = -0.26

***

Record 6
A relaxed MgNi2Ag crystal. Source: Alexandria, functional PBEsol.

a = 8.5792 Å, b = 8.5792 Å, c = 8.5792 Å
α = 18.22°, β = 18.22°, γ = 18.22°
Fractional coordinates of all 4 atoms:
Mg: 0.0000 0.0000 0.0000
Ni: 0.2521 0.2521 0.2521
Ni: 0.7479 0.7479 0.7479
Ag: 0.5000 0.5000 0.5000

- space group = R-3m (166)
- magnetization (Bohr magnetons per cell) = 0.0
- calculated formation energy (eV per atom) = 0.17